Here is a relaxed Ho8Zn2Os crystal from Alexandria. Energies are from PBE.

Summary:
uncorrected energy = -51.6 eV per formula unit
distance to the lowest polymorph of the same formula = 8.42 kJ/mol of atoms

a = 7.611 Å, b = 15.476 Å, c = 6.106 Å
α = 90.00°, β = 123.38°, γ = 90.00°
Space group Cm (No. 8)
Unique sites:
Ho1 0.000 0.000 0.000 [2 per cell]
Ho2 0.005 0.118 0.481 [4 per cell]
Ho3 0.046 0.385 0.840 [4 per cell]
Ho4 0.064 0.500 0.373 [2 per cell]
Ho5 0.280 0.191 0.139 [4 per cell]
Zn1 0.275 0.284 0.658 [4 per cell]
Os1 0.273 0.000 0.859 [2 per cell]

Here is a relaxed Cd2PAu crystal from Alexandria. Energies are from PBE.

Summary:
uncorrected energy = -9.6 eV per formula unit

a = 3.147 Å, b = 3.147 Å, c = 7.948 Å
α = 90.00°, β = 90.00°, γ = 90.00°
Space group P4mm (No. 99)
Unique sites:
Cd1 0.000 0.000 0.000 [1 per cell]
Cd2 0.500 0.500 0.290 [1 per cell]
P1 0.000 0.000 0.541 [1 per cell]
Au1 0.500 0.500 0.745 [1 per cell]

Here is a relaxed TaFe2I crystal from Alexandria. Energies are from PBE.

Summary:
uncorrected energy = -25.8 eV per formula unit
energy relative to the elements, uncorrected = 1.14 eV per atom
distance to the lowest polymorph of the same formula = 28.29 kJ/mol of atoms

a = 5.546 Å, b = 5.546 Å, c = 11.198 Å
α = 90.00°, β = 90.00°, γ = 90.00°
Space group I-42d (No. 122)
Unique sites:
Ta1 0.000 0.000 0.000 [4 per cell]
Fe1 0.237 0.250 0.125 [8 per cell]
I1 0.000 0.000 0.500 [4 per cell]

Here is a relaxed Pm4TeIr crystal from Alexandria. Energies are from PBE.

Summary:
uncorrected energy = -35.1 eV per formula unit
energy relative to the elements, uncorrected = -0.68 eV per atom

a = 9.191 Å, b = 14.016 Å, c = 6.256 Å
α = 90.00°, β = 117.42°, γ = 90.00°
Space group C2/c (No. 15)
Unique sites:
Pm1 0.114 0.180 0.081 [8 per cell]
Pm2 0.223 0.433 0.315 [8 per cell]
Te1 0.000 0.374 0.750 [4 per cell]
Ir1 0.000 0.001 0.250 [4 per cell]

Here is a relaxed AcCePm2 crystal from Alexandria. Energies are from PBE.

Summary:
uncorrected energy = -18.9 eV per formula unit
distance to the lowest polymorph of the same formula = 5.75 kJ/mol of atoms

a = 4.288 Å, b = 4.288 Å, c = 7.788 Å
α = 90.00°, β = 90.00°, γ = 90.00°
Space group P4/mmm (No. 123)
Unique sites:
Ac1 0.000 0.000 0.000 [1 per cell]
Ce1 0.000 0.000 0.500 [1 per cell]
Pm1 0.500 0.500 0.281 [2 per cell]

Here is a relaxed Ta4Te4P crystal from Alexandria. Energies are from PBE.

Summary:
uncorrected energy = -69.9 eV per formula unit
energy relative to the elements, uncorrected = -0.50 eV per atom

a = 11.013 Å, b = 19.263 Å, c = 4.845 Å
α = 90.00°, β = 90.00°, γ = 90.00°
Space group Pbam (No. 55)
Unique sites:
Ta1 0.061 0.111 0.000 [4 per cell]
Ta2 0.094 0.897 0.500 [4 per cell]
Ta3 0.181 0.054 0.500 [4 per cell]
Ta4 0.195 0.965 0.000 [4 per cell]
Te1 0.108 0.196 0.500 [4 per cell]
Te2 0.156 0.438 0.500 [4 per cell]
Te3 0.166 0.818 0.000 [4 per cell]
Te4 0.180 0.595 0.000 [4 per cell]
P1 0.000 0.000 0.250 [4 per cell]

What is the uncorrected energy in the sixth record?
-69.9 eV per formula unit

Copy entry 4 word for word.
Here is a relaxed Pm4TeIr crystal from Alexandria. Energies are from PBE.

Summary:
uncorrected energy = -35.1 eV per formula unit
energy relative to the elements, uncorrected = -0.68 eV per atom

a = 9.191 Å, b = 14.016 Å, c = 6.256 Å
α = 90.00°, β = 117.42°, γ = 90.00°
Space group C2/c (No. 15)
Unique sites:
Pm1 0.114 0.180 0.081 [8 per cell]
Pm2 0.223 0.433 0.315 [8 per cell]
Te1 0.000 0.374 0.750 [4 per cell]
Ir1 0.000 0.001 0.250 [4 per cell]